[1]
The following is a DFT calculation (PBE) of a relaxed Na4BeBi3O8 crystal. Values from VASP.

Properties
As for the formation energy (no corrections): -1.313 eV per atom.

```
&SYSTEM
  ibrav = 0, nat = 16, ntyp = 4
/
ATOMIC_SPECIES
Na 22.99 Na.upf
Be 9.01 Be.upf
Bi 208.98 Bi.upf
O 16.00 O.upf
CELL_PARAMETERS angstrom
6.100 -3.281 0.000
6.100 3.281 0.000
-3.584 0.000 5.723
ATOMIC_POSITIONS angstrom
Na 0.000 0.000 0.000
Na 3.050 1.640 0.000
Na 3.050 -1.640 0.000
Na 6.100 0.000 0.000
Be -1.792 0.000 2.861
Bi 1.258 1.640 2.861
Bi 1.258 -1.640 2.861
Bi 4.308 0.000 2.861
O 3.459 1.991 3.856
O 5.157 1.991 1.867
O 2.320 0.000 1.513
O 0.701 0.000 4.422
O 7.915 0.000 1.301
O 6.295 0.000 4.210
O 3.459 -1.991 3.856
O 5.157 -1.991 1.867
```

=====

[2]
The following is a DFT calculation (PBE) of a relaxed NaBe4Bi3O12 crystal. Values from VASP.

Properties
As for the formation energy (no corrections): -1.533 eV per atom.

```
&SYSTEM
  ibrav = 0, nat = 20, ntyp = 4
/
ATOMIC_SPECIES
Na 22.99 Na.upf
Be 9.01 Be.upf
Bi 208.98 Bi.upf
O 16.00 O.upf
CELL_PARAMETERS angstrom
5.227 3.018 2.666
-5.227 3.018 2.666
0.000 -6.035 2.666
ATOMIC_POSITIONS angstrom
Na 0.000 0.000 0.000
Be -2.327 -4.030 4.000
Be 0.000 0.000 4.000
Be -2.327 4.030 4.000
Be 4.653 0.000 4.000
Bi -2.844 -1.109 2.666
Bi 2.383 -1.908 2.666
Bi 0.461 3.018 2.666
O -3.204 -2.775 3.831
O -4.210 0.000 4.000
O -0.801 -4.162 4.168
O -1.541 0.000 4.000
O -3.204 2.775 4.168
O 2.105 -3.646 4.000
O 0.770 -1.334 4.000
O -0.801 4.162 3.831
O 0.770 1.334 4.000
O 4.005 -1.387 3.831
O 2.105 3.646 4.000
O 4.005 1.387 4.168
```

=====

[3]
The following is a DFT calculation (PBE) of a relaxed Na2Be2BiO6 crystal. Values from VASP.

Properties
As for the formation energy (no corrections): -1.520 eV per atom.

```
&SYSTEM
  ibrav = 0, nat = 11, ntyp = 4
/
ATOMIC_SPECIES
Na 22.99 Na.upf
Be 9.01 Be.upf
Bi 208.98 Bi.upf
O 16.00 O.upf
CELL_PARAMETERS angstrom
5.279 0.000 0.000
-2.640 4.572 0.000
0.000 0.000 6.003
ATOMIC_POSITIONS angstrom
Na 0.000 3.048 2.311
Na 2.640 1.524 3.692
Be 0.000 3.048 5.031
Be 2.640 1.524 0.972
Bi 0.000 0.000 0.000
O -1.515 3.214 4.775
O 0.614 1.653 4.775
O 1.738 0.295 1.228
O 0.901 4.277 4.775
O 2.026 2.919 1.228
O 4.155 1.358 1.228
```

=====

[4]
The following is a DFT calculation (PBE) of a relaxed Na2BeBiPb crystal. Values from VASP.

Properties
The value obtained for the formation energy is 343.5 kJ/mol of formula units.

```
&SYSTEM
  ibrav = 0, nat = 5, ntyp = 4
/
ATOMIC_SPECIES
Na 22.99 Na.upf
Be 9.01 Be.upf
Bi 208.98 Bi.upf
Pb 207.20 Pb.upf
CELL_PARAMETERS angstrom
5.862 0.000 0.000
0.000 5.862 0.000
0.000 0.000 6.178
ATOMIC_POSITIONS angstrom
Na 0.000 2.931 0.000
Na 2.931 0.000 0.000
Be 0.000 0.000 3.089
Bi 2.931 2.931 0.000
Pb 2.931 2.931 3.089
```

=====

no.,E (eV per cell)
1,-81.31
2,-118.03
3,-60.44
4,-10.39